Entry 1:
# RbPuCl2 (PBE, relaxed)
# * volume: 37.08 Å³/atom
# * DOS at the Fermi energy: 28.2 states/eV/cell
# * E_form (uncorrected): -5.11 eV/f.u.
# * mass density: 4.482 g/cm³
# * magnetization: 6.354 μB/f.u.
data_RbPuCl2
_chemical_formula_sum 'Rb3 Pu3 Cl6'
_cell_length_a 4.1680
_cell_length_b 4.1680
_cell_length_c 29.5766
_cell_angle_alpha 90.00
_cell_angle_beta 90.00
_cell_angle_gamma 120.00
_symmetry_space_group_name_H-M 'R -3 m'
_symmetry_Int_Tables_number 166
_symmetry_space_group_name_Hall '-R 3 2"'
loop_
_atom_site_label
_atom_site_fract_x
_atom_site_fract_y
_atom_site_fract_z
Rb1 0.0000 0.0000 0.0000
Pu1 0.0000 0.0000 0.5000
Cl1 0.0000 0.0000 0.1131

***

Entry 2:
# RbPu3Cl8 (PBE, relaxed)
# * volume: 34.36 Å³/atom
# * DOS at the Fermi energy: 107.2 states/eV/cell
# * E_form (uncorrected): -22.32 eV/f.u.
# * mass density: 4.435 g/cm³
# * magnetization: 17.000 μB/f.u.
data_RbPu3Cl8
_chemical_formula_sum 'Rb3 Pu9 Cl24'
_cell_length_a 8.8426
_cell_length_b 8.8426
_cell_length_c 18.2645
_cell_angle_alpha 90.00
_cell_angle_beta 90.00
_cell_angle_gamma 120.00
_symmetry_space_group_name_H-M 'R -3 m'
_symmetry_Int_Tables_number 166
_symmetry_space_group_name_Hall '-R 3 2"'
loop_
_atom_site_label
_atom_site_fract_x
_atom_site_fract_y
_atom_site_fract_z
Rb1 0.0000 0.0000 0.0000
Pu1 0.0000 0.5000 0.0000
Cl1 0.0000 0.0000 0.2558
Cl2 0.0363 0.5182 0.2558

***

Entry 3:
# RbPu2Cl7 (PBE, relaxed)
# * volume: 32.99 Å³/atom
# * DOS at the Fermi energy: 53.0 states/eV/cell
# * E_form (uncorrected): -19.21 eV/f.u.
# * mass density: 4.135 g/cm³
# * magnetization: 10.000 μB/f.u.
data_RbPu2Cl7
_chemical_formula_sum 'Rb2 Pu4 Cl14'
_cell_length_a 8.674
_cell_length_b 14.067
_cell_length_c 5.408
_cell_angle_alpha 90.00
_cell_angle_beta 90.00
_cell_angle_gamma 90.00
_symmetry_space_group_name_H-M 'C m m m'
_symmetry_Int_Tables_number 65
_symmetry_space_group_name_Hall '-C 2 2'
loop_
_atom_site_label
_atom_site_fract_x
_atom_site_fract_y
_atom_site_fract_z
Rb1 0.000 0.000 0.000
Pu1 0.000 0.305 0.500
Cl1 0.000 0.296 0.000
Cl2 0.000 0.500 0.500
Cl3 0.187 0.140 0.500

***

Entry 4:
# Rb3Pu2Cl9 (PBE, relaxed)
# * volume: 33.45 Å³/atom
# * DOS at the Fermi energy: 126.1 states/eV/cell
# * E_form (uncorrected): -27.14 eV/f.u.
# * mass density: 3.771 g/cm³
# * magnetization: 10.000 μB/f.u.
data_Rb3Pu2Cl9
_chemical_formula_sum 'Rb18 Pu12 Cl54'
_cell_length_a 13.2445
_cell_length_b 13.2445
_cell_length_c 18.4951
_cell_angle_alpha 90.00
_cell_angle_beta 90.00
_cell_angle_gamma 120.00
_symmetry_space_group_name_H-M 'R -3 c'
_symmetry_Int_Tables_number 167
_symmetry_space_group_name_Hall '-R 3 2"c'
loop_
_atom_site_label
_atom_site_fract_x
_atom_site_fract_y
_atom_site_fract_z
Rb1 0.0000 0.3344 0.2500
Pu1 0.0000 0.0000 0.1476
Cl1 0.0000 0.1541 0.7500
Cl2 0.0149 0.1865 0.4150

***

Entry 5:
# Rb2PuScCl6 (PBE, relaxed)
# * volume: 30.69 Å³/atom
# * DOS at the Fermi energy: 29.4 states/eV/cell
# * E_form (uncorrected): -18.51 eV/f.u.
# * mass density: 3.639 g/cm³
# * magnetization: 7.003 μB/f.u.
data_Rb2PuScCl6
_chemical_formula_sum 'Rb4 Pu2 Sc2 Cl12'
_cell_length_a 7.568
_cell_length_b 10.705
_cell_length_c 7.575
_cell_angle_alpha 90.00
_cell_angle_beta 90.00
_cell_angle_gamma 90.00
_symmetry_space_group_name_H-M 'P m m n'
_symmetry_Int_Tables_number 59
loop_
_symmetry_equiv_pos_as_xyz
'x,y,z'
'-x,-y,-z'
'-x+1/2,-y+1/2,z'
'x+1/2,y+1/2,-z'
'x+1/2,-y,-z'
'-x+1/2,y,z'
'-x,y+1/2,-z'
'x,-y+1/2,z'
loop_
_atom_site_label
_atom_site_fract_x
_atom_site_fract_y
_atom_site_fract_z
Rb1 0.250 0.001 0.250
Pu1 0.250 0.250 0.749
Sc1 0.250 0.750 0.751
Cl1 0.010 0.750 0.511
Cl2 0.010 0.750 0.991
Cl3 0.250 0.510 0.751

***

Entry 6:
# RbSmPuCl6 (PBE, relaxed)
# * volume: 36.61 Å³/atom
# * DOS at the Fermi energy: 31.3 states/eV/cell
# * E_form (uncorrected): -18.54 eV/f.u.
# * mass density: 3.490 g/cm³
# * magnetization: 6.000 μB/f.u.
data_RbSmPuCl6
_chemical_formula_sum 'Rb2 Sm2 Pu2 Cl12'
_cell_length_a 7.2664
_cell_length_b 7.2664
_cell_length_c 14.4115
_cell_angle_alpha 90.00
_cell_angle_beta 90.00
_cell_angle_gamma 120.00
_symmetry_space_group_name_H-M 'P -3 1 c'
_symmetry_Int_Tables_number 163
_symmetry_space_group_name_Hall '-P 3 2c'
loop_
_atom_site_label
_atom_site_fract_x
_atom_site_fract_y
_atom_site_fract_z
Rb1 0.0000 0.0000 0.0000
Sm1 0.3333 0.6667 0.2500
Pu1 0.3333 0.6667 0.7500
Cl1 0.0103 0.3747 0.1411

***

Entry 7:
# Rb3PuSn2Cl9 (PBE, relaxed)
# * volume: 35.85 Å³/atom
# * DOS at the Fermi energy: 21.0 states/eV/cell
# * E_form (uncorrected): -22.92 eV/f.u.
# * mass density: 3.264 g/cm³
# * magnetization: 6.012 μB/f.u.
data_Rb3PuSn2Cl9
_chemical_formula_sum 'Rb3 Pu1 Sn2 Cl9'
_cell_length_a 7.9860
_cell_length_b 7.9860
_cell_length_c 9.7358
_cell_angle_alpha 90.00
_cell_angle_beta 90.00
_cell_angle_gamma 120.00
_symmetry_space_group_name_H-M 'P -3 m 1'
_symmetry_Int_Tables_number 164
_symmetry_space_group_name_Hall '-P 3 2"'
loop_
_atom_site_label
_atom_site_fract_x
_atom_site_fract_y
_atom_site_fract_z
Rb1 0.0000 0.0000 0.0000
Rb2 0.3333 0.6667 0.7147
Pu1 0.0000 0.0000 0.5000
Sn1 0.3333 0.6667 0.1704
Cl1 0.0000 0.5000 0.0000
Cl2 0.1604 0.3207 0.3285

***

Entry 8:
# RbSrPuCl6 (PBE, relaxed)
# * volume: 37.54 Å³/atom
# * DOS at the Fermi energy: 22.0 states/eV/cell
# * E_form (uncorrected): -19.17 eV/f.u.
# * mass density: 3.095 g/cm³
# * magnetization: 5.000 μB/f.u.
data_RbSrPuCl6
_chemical_formula_sum 'Rb2 Sr2 Pu2 Cl12'
_cell_length_a 7.5065
_cell_length_b 7.5065
_cell_length_c 13.8488
_cell_angle_alpha 90.00
_cell_angle_beta 90.00
_cell_angle_gamma 120.00
_symmetry_space_group_name_H-M 'P -3 1 c'
_symmetry_Int_Tables_number 163
_symmetry_space_group_name_Hall '-P 3 2c'
loop_
_atom_site_label
_atom_site_fract_x
_atom_site_fract_y
_atom_site_fract_z
Rb1 0.0000 0.0000 0.0000
Sr1 0.3333 0.6667 0.2500
Pu1 0.3333 0.6667 0.7500
Cl1 0.0177 0.3767 0.6406

***

Q: What is the mass density in the sixth record?
A: 3.490 g/cm³